No. 1
Computed, not measured: HPdO2F after structural relaxation at the PBE level of DFT.

abc: 4.0342 4.0342 2.5834
angles: 90.00 90.00 90.00
With the nearest neighbours (Å) after each atom.
Space group P4/mmm (No. 123)
One atom of each set of equivalent atoms:
H  0.0000  0.0000  0.0000 [1 per cell]  2 F 1.29
Pd  0.5000  0.5000  0.5000 [1 per cell]  8 O 2.40, 2 Pd 2.58
O  0.0000  0.5000  0.0000 [2 per cell]  2 H 2.02
F  0.0000  0.0000  0.5000 [1 per cell]  2 H 1.29

Calculated values
DOS at the Fermi energy = 4.332 states/eV/f.u.
total energy = -3.742 eV per atom
magnetic moment = 1.62 Bohr magnetons per cell
volume = 8.41 Å³/atom

No. 2
Computed, not measured: Ca3Cd7In2 after structural relaxation at the PBE level of DFT.

abc: 6.0992 6.0992 28.9959
angles: 90.00 90.00 120.00
With the nearest neighbours (Å) after each atom.
Space group R-3m (No. 166, hexagonal axes)
One atom of each set of equivalent atoms:
Ca  0.0000  0.0000  0.0000 [3 per cell]  6 In 3.52, 12 Cd 3.94
Ca  0.0000  0.0000  0.1428 [6 per cell]  12 Cd 3.46-3.59, 3 Ca 3.78
Cd  0.0000  0.0000  0.5000 [3 per cell]  6 Cd 2.95
Cd  0.0084  0.5042  0.9139 [18 per cell]  5 Cd 2.95-3.13, 2 In 3.04-3.07
In  0.0000  0.0000  0.3352 [6 per cell]  6 Cd 3.04-3.07

Calculated values
DOS at the Fermi energy = 6.411 states/eV/f.u.
total energy = -1.738 eV per atom
formation energy from the elements = -0.247 eV per atom
magnetic moment = 0.00 Bohr magnetons per cell
volume = 25.95 Å³/atom

No. 3
Computed, not measured: CdPdRuPt2 after structural relaxation at the PBE level of DFT.

abc: 4.9092 4.9092 4.8297
angles: 90.00 90.00 90.00
With the nearest neighbours (Å) after each atom.
Space group P4/mmm (No. 123)
One atom of each set of equivalent atoms:
Cd  0.0000  0.0000  0.0000 [1 per cell]  2 Pd 2.41, 4 Pt 2.45
Pd  0.0000  0.0000  0.5000 [1 per cell]  2 Cd 2.41
Ru  0.5000  0.5000  0.5000 [1 per cell]  8 Pt 3.44, 4 Pd 3.47
Pt  0.0000  0.5000  0.0000 [2 per cell]  2 Cd 2.45

Calculated values
DOS at the Fermi energy = 8.395 states/eV/f.u.
total energy = -3.814 eV per atom
formation energy from the elements = 1.679 eV per atom
magnetic moment = 3.59 Bohr magnetons per cell
volume = 23.28 Å³/atom

No. 4
Computed, not measured: LiYSn after structural relaxation at the PBE level of DFT.

abc: 11.0024 4.6900 7.3376
angles: 90.00 130.81 90.00
With the nearest neighbours (Å) after each atom.
Space group C2/m (No. 12)
One atom of each set of equivalent atoms:
Li  0.1677  0.0000  0.1108 [4 per cell]  2 Sn 2.68, 1 Li 2.90
Y  0.0256  0.5000  0.2846 [4 per cell]  6 Sn 3.15-3.41, 6 Li 3.22-3.49
Sn  0.1803  0.0000  0.6962 [4 per cell]  2 Li 2.68

Calculated values
DOS at the Fermi energy = 1.450 states/eV/f.u.
total energy = -4.638 eV per atom
formation energy from the elements = -0.512 eV per atom
magnetic moment = 0.00 Bohr magnetons per cell
volume = 23.88 Å³/atom

Q: Which of these has the lowest DOS at the Fermi energy?
A: LiYSn